Entry 1:
This record from Alexandria describes crystalline Lu2AlF at its relaxed geometry. The functional is PBE.

The structure in POSCAR format:
```
Lu2AlF
1.0
3.515 0.000 0.000
1.758 3.044 0.000
1.758 1.015 7.363
Lu Al F
2 1 1
Cartesian
5.273 3.044 5.857 Lu
1.758 1.015 1.506 Lu
3.515 2.029 3.682 Al
0.000 0.000 0.000 F
```

Output
total moment	0.000	μB/f.u.
SG	R-3m
energy relative to the elements, uncorrected	-1177	meV per atom
raw total energy	-19.36	eV per formula unit

---

Entry 2:
This record from Alexandria describes crystalline ErBiRhO6 at its relaxed geometry. The functional is PBE.

The structure in POSCAR format:
```
ErBiRhO6
1.0
5.473 0.000 0.000
-2.737 4.740 0.000
0.000 0.000 9.329
Er Bi Rh O
2 2 2 12
Cartesian
0.000 3.160 2.332 Er
2.737 1.580 6.997 Er
0.000 0.000 0.000 Bi
0.000 0.000 4.664 Bi
2.737 1.580 2.332 Rh
0.000 3.160 6.997 Rh
1.906 3.006 1.209 O
4.387 1.586 1.209 O
-0.820 4.592 5.873 O
-1.650 3.154 8.120 O
1.087 1.586 3.456 O
3.567 3.006 3.456 O
0.820 4.592 8.120 O
3.556 0.148 3.456 O
-0.831 1.734 5.873 O
1.917 0.148 1.209 O
1.650 3.154 5.873 O
0.831 1.734 8.120 O
```

Output
total moment	0.608	μB/f.u.
SG	P-31c
energy relative to the elements, uncorrected	-1490	meV per atom
raw total energy	-58.96	eV per formula unit

---

Entry 3:
This record from Alexandria describes crystalline CaHg2Cl at its relaxed geometry. The functional is PBE.

The structure in POSCAR format:
```
CaHg2Cl
1.0
9.195 0.000 0.000
0.000 9.195 0.000
4.597 4.597 2.837
Ca Hg Cl
2 4 2
Cartesian
0.000 0.000 0.000 Ca
9.195 4.597 1.419 Ca
7.093 2.299 0.709 Hg
2.102 6.896 0.709 Hg
6.896 6.699 2.128 Hg
11.494 11.691 2.128 Hg
4.597 4.597 0.000 Cl
4.597 9.195 1.419 Cl
```

Output
total moment	0.000	μB/f.u.
SG	I-42d
energy relative to the elements, uncorrected	-759	meV per atom
raw total energy	-7.49	eV per formula unit

---

Entry 4:
This record from Alexandria describes crystalline Cs3Pa3TiS8 at its relaxed geometry. The functional is PBE.

The structure in POSCAR format:
```
Cs3Pa3TiS8
1.0
-5.272 -5.816 -0.772
7.679 -1.475 -1.035
-2.608 1.164 9.053
Cs Pa Ti S
3 3 1 8
Cartesian
0.000 0.000 0.000 Cs
3.839 -0.738 -0.517 Cs
1.204 -3.645 -0.903 Cs
-3.940 -2.326 4.140 Pa
-0.101 -3.064 3.623 Pa
2.535 -0.156 4.009 Pa
-1.304 0.582 4.527 Ti
1.915 -2.007 2.044 S
-2.116 -4.120 5.202 S
-0.637 -5.003 1.753 S
0.436 -1.124 5.494 S
-4.644 -4.234 2.293 S
4.443 -1.893 4.953 S
-1.893 -1.199 2.696 S
1.692 -4.928 4.551 S
```

Output
total moment	5.960	μB/f.u.
SG	R-3m
energy relative to the elements, uncorrected	-1467	meV per atom
raw total energy	-93.97	eV per formula unit

---

Entry 5:
This record from Alexandria describes crystalline BePbSeN2 at its relaxed geometry. The functional is PBE.

The structure in POSCAR format:
```
BePbSeN2
1.0
4.251 0.000 0.000
0.000 4.251 0.000
0.000 0.000 5.976
Pb Be Se N
1 1 1 2
Cartesian
0.000 0.000 0.000 Pb
2.125 2.125 2.988 Be
0.000 0.000 2.988 Se
0.000 2.125 0.000 N
2.125 0.000 0.000 N
```

Output
total moment	2.443	μB/f.u.
SG	P4/mmm
energy relative to the elements, uncorrected	1945	meV per atom
raw total energy	-17.84	eV per formula unit

---

Entry 6:
This record from Alexandria describes crystalline Ce3PmSe6 at its relaxed geometry. The functional is PBE.

The structure in POSCAR format:
```
Ce3PmSe6
1.0
-4.106 -5.731 -2.304
3.594 -6.355 -2.414
-0.248 -6.327 4.363
Ce Pm Se
3 1 6
Cartesian
-0.412 -4.911 -0.213 Ce
-0.349 -13.503 -0.142 Ce
0.000 0.000 0.000 Ce
-0.380 -9.207 -0.178 Pm
-0.982 -7.147 1.716 Se
-1.703 -11.253 1.324 Se
0.221 -11.267 -2.071 Se
0.943 -7.161 -1.679 Se
2.132 -10.035 1.251 Se
-2.893 -8.379 -1.606 Se
```

Output
total moment	3.003	μB/f.u.
SG	C2/m
energy relative to the elements, uncorrected	-1668	meV per atom
raw total energy	-60.14	eV per formula unit

---

Entry 7:
This record from Alexandria describes crystalline Zr2TePb at its relaxed geometry. The functional is PBE.

The structure in POSCAR format:
```
Zr2TePb
1.0
8.122 0.022 0.051
-3.339 3.991 -0.024
1.443 1.240 2.898
Pb Te Zr
1 1 2
Cartesian
-0.948 2.616 1.437 Pb
2.391 2.006 0.013 Te
0.000 0.000 0.000 Zr
4.783 0.631 1.474 Zr
```

Output
total moment	0.000	μB/f.u.
SG	C2/m
energy relative to the elements, uncorrected	-338	meV per atom
raw total energy	-25.30	eV per formula unit

---

Entry 8:
This record from Alexandria describes crystalline Pm3AlGe3 at its relaxed geometry. The functional is PBE.

The structure in POSCAR format:
```
Pm3AlGe3
1.0
-0.053 -5.797 -1.669
8.501 0.443 -1.805
-2.642 -2.272 7.974
Pm Al Ge
6 2 6
Cartesian
4.192 -5.472 2.518 Pm
2.939 -4.329 -1.412 Pm
7.110 -4.630 -0.499 Pm
1.614 -2.155 1.981 Pm
2.867 -3.298 5.912 Pm
-1.304 -2.997 4.998 Pm
4.773 -1.912 1.037 Al
1.033 -5.715 3.462 Al
4.241 -2.586 3.397 Ge
2.914 -1.429 -0.581 Ge
7.165 -1.720 0.296 Ge
1.565 -5.040 1.102 Ge
2.892 -6.198 5.080 Ge
-1.359 -5.907 4.204 Ge
```

Output
total moment	0.000	μB/f.u.
SG	P6_3/m
raw total energy	-36.07	eV per formula unit

---

Entry 9:
This record from Alexandria describes crystalline IrSe2Cl at its relaxed geometry. The functional is PBE.

The structure in POSCAR format:
```
IrSe2Cl
1.0
3.471 0.000 0.000
0.000 3.468 0.000
0.000 0.000 7.088
Cl Ir Se
1 1 2
Cartesian
0.000 0.000 3.804 Cl
1.736 1.734 5.925 Ir
0.000 0.000 6.705 Se
1.736 1.734 1.287 Se
```

Output
total moment	0.000	μB/f.u.
SG	P4mm
energy relative to the elements, uncorrected	441	meV per atom
raw total energy	-15.91	eV per formula unit

---

Entry 10:
This record from Alexandria describes crystalline RbTl2CdCu at its relaxed geometry. The functional is PBE.

The structure in POSCAR format:
```
RbTl2CdCu
1.0
5.404 0.000 0.000
0.000 5.404 0.000
0.000 0.000 5.331
Tl Cu Rb Cd
2 1 1 1
Cartesian
0.000 2.702 0.000 Tl
2.702 0.000 0.000 Tl
0.000 0.000 0.000 Cu
2.702 2.702 2.665 Rb
0.000 0.000 2.665 Cd
```

Output
total moment	0.000	μB/f.u.
SG	P4/mmm
raw total energy	-10.33	eV per formula unit

---

Entry 11:
This record from Alexandria describes crystalline AcInTeBr at its relaxed geometry. The functional is PBE.

The structure in POSCAR format:
```
AcInTeBr
1.0
5.666 0.000 0.000
2.833 4.907 0.000
2.833 1.636 4.626
Ac Te Br In
1 1 1 1
Cartesian
5.666 3.271 2.313 Ac
2.833 1.636 1.156 Te
8.498 4.907 3.469 Br
0.000 0.000 0.000 In
```

Output
total moment	0.301	μB/f.u.
SG	F-43m
energy relative to the elements, uncorrected	-977	meV per atom
raw total energy	-15.57	eV per formula unit

---

Entry 12:
This record from Alexandria describes crystalline AsSeCl2 at its relaxed geometry. The functional is PBE.

The structure in POSCAR format:
```
AsSeCl2
1.0
-1.337 2.551 -1.778
-1.992 -4.691 -5.233
-5.779 -4.155 -1.615
As Se Cl
1 1 2
Cartesian
-6.497 -5.359 -6.024 As
-2.611 -0.936 -2.601 Se
-6.871 -7.821 -6.055 Cl
-4.786 -5.447 -4.216 Cl
```

Output
total moment	0.000	μB/f.u.
SG	P2/m
energy relative to the elements, uncorrected	-159	meV per atom
raw total energy	-12.46	eV per formula unit

---

Entry 13:
This record from Alexandria describes crystalline NdGe2Pt4 at its relaxed geometry. The functional is PBE.

The structure in POSCAR format:
```
NdGe2Pt4
1.0
4.288 0.000 0.000
2.144 3.713 0.000
2.144 1.238 8.255
Nd Ge Pt
1 2 4
Cartesian
0.000 0.000 0.000 Nd
2.144 1.238 2.314 Ge
6.432 3.713 5.941 Ge
4.288 2.476 6.302 Pt
2.144 1.238 4.850 Pt
4.288 2.475 1.953 Pt
6.432 3.713 3.406 Pt
```

Output
total moment	0.000	μB/f.u.
SG	R-3m
raw total energy	-43.20	eV per formula unit

---

Entry 14:
This record from Alexandria describes crystalline TiBeNi5 at its relaxed geometry. The functional is PBE.

The structure in POSCAR format:
```
TiBeNi5
1.0
4.829 -0.128 0.528
1.411 4.620 0.528
2.789 2.008 7.863
Ti Be Ni
2 2 10
Cartesian
4.416 1.917 2.494 Ti
4.614 4.583 6.426 Ti
0.000 0.000 0.000 Be
1.395 1.004 3.932 Be
4.770 4.429 2.809 Ni
3.269 3.193 4.257 Ni
7.108 4.122 6.740 Ni
2.423 4.684 2.494 Ni
3.570 3.409 0.730 Ni
5.459 3.091 8.189 Ni
6.606 1.816 6.426 Ni
1.922 2.378 2.179 Ni
5.760 3.308 4.662 Ni
4.260 2.072 6.111 Ni
```

Output
total moment	0.000	μB/f.u.
SG	C2/c
raw total energy	-41.24	eV per formula unit

---

Entry 15:
This record from Alexandria describes crystalline Pm2NdY6Sc3 at its relaxed geometry. The functional is PBE.

The structure in POSCAR format:
```
Pm2NdY6Sc3
1.0
6.122 -0.001 0.012
-3.060 5.302 0.012
-1.042 -1.805 11.393
Pm Nd Y Sc
2 1 6 3
Cartesian
0.001 3.535 0.012 Pm
3.061 1.767 0.012 Pm
0.000 0.000 0.000 Nd
3.045 1.738 8.429 Y
2.036 3.525 2.999 Y
-1.025 1.759 2.987 Y
-0.017 3.506 8.429 Y
-0.016 -0.028 8.417 Y
2.036 -0.009 2.987 Y
-2.050 3.516 5.708 Sc
4.070 -0.019 5.708 Sc
1.010 1.748 5.708 Sc
```

Output
total moment	0.000	μB/f.u.
SG	C2/m
raw total energy	-71.43	eV per formula unit

---

Entry 16:
This record from Alexandria describes crystalline TlCdNiHg2 at its relaxed geometry. The functional is PBE.

The structure in POSCAR format:
```
TlCdNiHg2
1.0
-4.239 0.232 2.891
-1.246 -4.769 -1.443
2.597 -1.876 3.958
Ni Tl Hg Cd
1 1 2 1
Cartesian
0.000 0.000 0.000 Ni
1.298 -0.938 1.979 Tl
-0.623 -2.385 -0.721 Hg
-2.119 0.116 1.446 Hg
-1.444 -3.206 2.703 Cd
```

Output
total moment	0.000	μB/f.u.
SG	P4/mmm
raw total energy	-8.91	eV per formula unit

---

Entry 17:
This record from Alexandria describes crystalline TmCuI2 at its relaxed geometry. The functional is PBE.

The structure in POSCAR format:
```
TmCuI2
1.0
-0.561 -0.778 3.898
3.052 -1.335 2.240
3.097 7.907 4.091
I Tm Cu
2 1 1
Cartesian
2.361 5.109 3.427 I
3.228 0.685 6.803 I
0.000 0.000 0.000 Tm
2.794 2.897 5.115 Cu
```

Output
total moment	0.000	μB/f.u.
SG	R-3m
energy relative to the elements, uncorrected	-144	meV per atom
raw total energy	-12.24	eV per formula unit

---

Entry 18:
This record from Alexandria describes crystalline TcMo2W2 at its relaxed geometry. The functional is PBE.

The structure in POSCAR format:
```
TcMo2W2
1.0
4.335 0.003 0.000
0.006 7.460 -1.032
-2.169 -3.000 5.848
Tc Mo W
2 4 4
Cartesian
3.255 5.597 -0.774 Tc
1.085 1.866 -0.258 Tc
1.084 -0.363 1.973 Mo
-1.084 1.094 3.359 Mo
1.087 4.825 2.844 Mo
3.255 3.369 1.457 Mo
3.252 0.745 0.794 W
1.087 4.473 0.278 W
-1.081 3.718 4.022 W
1.084 -0.010 4.538 W
```

Output
total moment	0.000	μB/f.u.
SG	C2/m
raw total energy	-55.24	eV per formula unit

---

Entry 19:
This record from Alexandria describes crystalline ThSiTc2Ge at its relaxed geometry. The functional is PBE.

The structure in POSCAR format:
```
ThSiTc2Ge
1.0
-0.959 5.869 1.061
-5.946 -0.853 -0.656
2.566 -0.532 5.262
Th Si Tc Ge
2 2 4 2
Cartesian
-3.895 3.498 2.930 Th
-0.444 0.987 2.737 Th
-3.305 0.823 1.059 Si
-1.034 3.662 4.608 Si
-1.973 2.720 0.366 Tc
-4.452 -0.638 -0.491 Tc
-4.932 2.296 0.039 Tc
-1.494 -0.214 -0.165 Tc
-3.514 0.333 3.581 Ge
-0.826 4.151 2.086 Ge
```

Output
total moment	0.000	μB/f.u.
SG	Cmcm
energy relative to the elements, uncorrected	-566	meV per atom
raw total energy	-41.02	eV per formula unit

---

Entry 20:
This record from Alexandria describes crystalline Sc3VAg at its relaxed geometry. The functional is PBE.

The structure in POSCAR format:
```
Sc3VAg
1.0
-1.387 -2.835 -3.735
4.340 -2.250 0.096
-1.775 -3.287 3.154
Sc Ag V
3 1 1
Cartesian
2.170 -1.125 0.048 Sc
-0.887 -1.644 1.577 Sc
-0.694 -1.417 -1.867 Sc
0.589 -4.186 -0.242 Ag
0.000 0.000 0.000 V
```

Output
total moment	0.000	μB/f.u.
SG	Pm-3m
raw total energy	-28.47	eV per formula unit

---

Entry 21:
This record from Alexandria describes crystalline Ag2Mo2Pb at its relaxed geometry. The functional is PBE.

The structure in POSCAR format:
```
Ag2Mo2Pb
1.0
-1.759 -3.388 -0.600
3.414 -1.802 0.171
0.083 -3.379 6.398
Pb Mo Ag
1 2 2
Cartesian
0.000 0.000 0.000 Pb
0.697 -2.733 0.945 Mo
1.041 -5.837 5.024 Mo
-0.424 -4.681 2.792 Ag
2.162 -3.888 3.177 Ag
```

Output
total moment	0.002	μB/f.u.
SG	I4/mmm
raw total energy	-27.01	eV per formula unit

---

Entry 22:
This record from Alexandria describes crystalline Ge2SO2 at its relaxed geometry. The functional is PBE.

The structure in POSCAR format:
```
Ge2SO2
1.0
6.276 0.000 0.000
0.000 6.276 0.000
-3.138 -3.138 5.447
Ge S O
4 2 4
Cartesian
0.000 1.331 4.804 Ge
1.807 0.000 2.081 Ge
4.469 0.000 2.081 Ge
0.000 -1.331 4.804 Ge
0.000 0.000 0.628 S
0.000 3.138 3.352 S
3.138 4.975 1.313 O
1.301 0.000 4.037 O
-1.301 0.000 4.037 O
3.138 1.301 1.313 O
```

Output
total moment	0.000	μB/f.u.
SG	I4_1md
energy relative to the elements, uncorrected	-590	meV per atom
raw total energy	-26.23	eV per formula unit

---

Entry 23:
This record from Alexandria describes crystalline Rb2PdWCl6 at its relaxed geometry. The functional is PBE.

The structure in POSCAR format:
```
Rb2PdWCl6
1.0
7.924 0.000 0.000
0.000 7.924 0.000
3.962 3.962 4.547
Rb Pd W Cl
2 1 1 6
Cartesian
7.924 3.962 2.273 Rb
3.962 7.924 2.273 Rb
3.962 3.962 0.000 Pd
0.000 0.000 0.000 W
3.962 3.962 2.238 Cl
7.924 7.924 2.309 Cl
1.730 1.730 0.000 Cl
6.195 6.195 0.000 Cl
6.195 1.730 0.000 Cl
1.730 6.195 0.000 Cl
```

Output
total moment	2.000	μB/f.u.
SG	I4/mmm
energy relative to the elements, uncorrected	-1014	meV per atom
raw total energy	-41.30	eV per formula unit

---

Entry 24:
This record from Alexandria describes crystalline LiZr2Br at its relaxed geometry. The functional is PBE.

The structure in POSCAR format:
```
LiZr2Br
1.0
4.996 0.000 0.000
2.498 4.326 0.000
2.498 1.442 4.079
Br Li Zr
1 1 2
Cartesian
4.996 2.884 2.040 Br
7.494 4.326 3.059 Li
0.000 0.000 0.000 Zr
2.498 1.442 1.020 Zr
```

Output
total moment	2.614	μB/f.u.
SG	F-43m
energy relative to the elements, uncorrected	517	meV per atom
raw total energy	-18.61	eV per formula unit

---

Entry 25:
This record from Alexandria describes crystalline Fe2TcTe at its relaxed geometry. The functional is PBE.

The structure in POSCAR format:
```
Fe2TcTe
1.0
-0.209 2.164 2.341
-3.172 0.094 -0.371
-0.587 -4.309 3.931
Fe Tc Te
2 1 1
Cartesian
-0.014 -0.103 0.094 Fe
-1.826 0.132 1.895 Fe
-0.288 -2.113 1.928 Tc
-2.133 -2.121 3.950 Te
```

Output
total moment	5.023	μB/f.u.
SG	P4mm
energy relative to the elements, uncorrected	316	meV per atom
raw total energy	-29.17	eV per formula unit